This record from Alexandria via LeMat-Bulk describes an optimized crystal structure of Rb2PaAg2O6. The functional is PBE.

Cell: 6.4613 6.4613 7.0879 Å, 62.88 62.88 60.00°
Last column: nearest neighbours and their distance in Å.
Fractional coordinates of all 11 atoms:
Rb 0.7858 0.7858 0.6425  9 O 3.03-3.34
Rb 0.2142 0.2142 0.3575  9 O 3.03-3.34
Pa 0.0000 0.0000 0.0000  6 O 2.15
Ag 0.4143 0.4143 0.7571  3 O 2.06
Ag 0.5857 0.5857 0.2429  3 O 2.06
O 0.7763 0.7763 0.2235  1 Ag 2.06, 1 Pa 2.15
O 0.2240 0.7763 0.2235  1 Ag 2.06, 1 Pa 2.15
O 0.7763 0.2240 0.2235  1 Ag 2.06, 1 Pa 2.15
O 0.2237 0.7760 0.7765  1 Ag 2.06, 1 Pa 2.15
O 0.7760 0.2237 0.7765  1 Ag 2.06, 1 Pa 2.15
O 0.2237 0.2237 0.7765  1 Ag 2.06, 1 Pa 2.15

Output
* formation energy from raw total energies: -1482.6 meV/atom
* calculated volume: 217.9 Å³ per cell



This record from Alexandria via LeMat-Bulk describes an optimized crystal structure of PuNpIn6. The functional is PBE.

Cell: 4.6570 6.5754 6.5754 Å, 90.00 90.00 90.00°
Last column: nearest neighbours and their distance in Å.
Fractional coordinates of all 8 atoms:
Pu 0.5000 0.5000 0.5000  12 In 3.29
Np 0.5000 0.0000 0.0000  12 In 3.29
In 0.5000 0.0000 0.5000  2 Np 3.29, 2 Pu 3.29, 8 In 3.29
In 0.5000 0.5000 0.0000  2 Pu 3.29, 2 Np 3.29, 8 In 3.29
In 0.0000 0.2495 0.2495  8 In 3.28-3.29, 2 Np 3.29, 2 Pu 3.29
In 0.0000 0.7505 0.7505  8 In 3.28-3.29, 2 Np 3.29, 2 Pu 3.29
In 0.0000 0.7503 0.2497  8 In 3.28-3.29, 2 Np 3.29, 2 Pu 3.29
In 0.0000 0.2497 0.7503  8 In 3.28-3.29, 2 Np 3.29, 2 Pu 3.29

Output
* energy relative to the elements: -108 meV per atom
* calculated volume: 201.3 Å³ per cell



This record from Alexandria via LeMat-Bulk describes an optimized crystal structure of BaYSc2. The functional is PBE.

Cell: 6.5631 6.5631 6.0341 Å, 69.09 69.09 32.49°
Last column: nearest neighbours and their distance in Å.
Fractional coordinates of all 4 atoms:
Ba 0.7355 0.7355 0.8047  7 Sc 3.52-3.59, 2 Ba 3.67, 3 Y 3.74-3.93
Sc 0.9748 0.9748 0.9790  2 Sc 3.16, 2 Y 3.51
Sc 0.2683 0.2683 0.2857  2 Sc 3.16, 2 Y 3.43, 2 Ba 3.52
Y 0.5214 0.5214 0.4306  7 Sc 3.43-3.64, 2 Y 3.67, 1 Ba 3.74

Output
* energy relative to the elements: 271 meV per atom
* calculated volume: 129.6 Å³ per cell



This record from Alexandria via LeMat-Bulk describes an optimized crystal structure of Y3TcCl2O6. The functional is PBE.

Cell: 5.5389 6.5307 6.5520 Å, 119.89 81.30 90.00°
Last column: nearest neighbours and their distance in Å.
Fractional coordinates of all 12 atoms:
Y 0.0000 0.5000 0.0000  4 O 2.39, 2 Cl 2.65
Y 0.5000 0.5000 0.5000  4 O 2.18-2.29
Y 0.5000 0.0000 0.5000  4 O 2.18-2.29
Tc 0.5000 0.0000 0.0000  6 O 1.98-2.08
Cl 0.1462 0.7097 0.4194  3 Y 2.65, 1 O 2.75
Cl 0.8538 0.2903 0.5806  3 Y 2.65, 1 O 2.75
O 0.7035 0.2931 0.1134  1 Tc 2.08, 1 Y 2.29
O 0.2965 0.7069 0.8866  1 Tc 2.08, 1 Y 2.29
O 0.6709 0.8320 0.6640  1 Tc 1.98, 2 Y 2.18
O 0.3291 0.1680 0.3360  1 Tc 1.98, 2 Y 2.18
O 0.2965 0.1797 0.8866  1 Tc 2.08, 1 Y 2.29
O 0.7035 0.8203 0.1134  1 Tc 2.08, 1 Y 2.29

Output
* formation energy from raw total energies: -2301.5 meV/atom
* calculated volume: 202.3 Å³ per cell



This record from Alexandria via LeMat-Bulk describes an optimized crystal structure of SrLiLuIn. The functional is PBE.

Cell: 5.4600 5.4600 5.4600 Å, 60.00 60.00 60.00°
Last column: nearest neighbours and their distance in Å.
Fractional coordinates of all 4 atoms:
Sr 0.2500 0.2500 0.2500  4 Li 3.34, 4 In 3.34
Lu 0.7500 0.7500 0.7500  4 Li 3.34, 4 In 3.34
In 0.5000 0.5000 0.5000  4 Sr 3.34, 4 Lu 3.34
Li 0.0000 0.0000 0.0000  4 Lu 3.34, 4 Sr 3.34

Output
* energy relative to the elements: -161 meV per atom
* calculated volume: 115.1 Å³ per cell



This record from Alexandria via LeMat-Bulk describes an optimized crystal structure of SrTlZnN2. The functional is PBE.

Cell: 4.5698 4.5698 4.9667 Å, 90.00 90.00 90.00°
Last column: nearest neighbours and their distance in Å.
Fractional coordinates of all 5 atoms:
Sr 0.5000 0.5000 0.5000  4 Zn 3.23, 8 N 3.37
Tl 0.0000 0.0000 0.0000  4 N 2.28, 2 Zn 2.48
Zn 0.0000 0.0000 0.5000  2 Tl 2.48
N 0.0000 0.5000 0.0000  2 Tl 2.28
N 0.5000 0.0000 0.0000  2 Tl 2.28

Output
* formation energy from raw total energies: 1141.8 meV/atom
* calculated volume: 103.7 Å³ per cell



This record from Alexandria via LeMat-Bulk describes an optimized crystal structure of NiHgSe2. The functional is PBE.

Cell: 2.9595 2.9595 10.0562 Å, 90.00 90.00 90.00°
Last column: nearest neighbours and their distance in Å.
Fractional coordinates of all 4 atoms:
Hg 0.0000 0.0000 0.5414  4 Hg 2.96
Ni 0.5000 0.5000 0.8004  4 Se 2.36
Se 0.0000 0.0000 0.9080  4 Ni 2.36
Se 0.5000 0.5000 0.2503  4 Se 2.96

Output
* formation energy from raw total energies: 146.2 meV/atom
* calculated volume: 88.1 Å³ per cell



This record from Alexandria via LeMat-Bulk describes an optimized crystal structure of PmErAl. The functional is PBE.

Cell: 5.0852 5.0852 5.0852 Å, 60.00 60.00 60.00°
Last column: nearest neighbours and their distance in Å.
Fractional coordinates of all 3 atoms:
Pm 0.5000 0.5000 0.5000  4 Al 3.11
Al 0.2500 0.2500 0.2500  4 Pm 3.11, 4 Er 3.11
Er 0.0000 0.0000 0.0000  4 Al 3.11

Output
* energy relative to the elements: -16 meV per atom
* calculated volume: 93.0 Å³ per cell



This record from Alexandria via LeMat-Bulk describes an optimized crystal structure of KBe2Os. The functional is PBE.

Cell: 2.6749 2.6749 9.3546 Å, 90.00 90.00 114.64°
Last column: nearest neighbours and their distance in Å.
Fractional coordinates of all 4 atoms:
Be 0.0000 0.0000 0.9990  2 Be 2.30, 2 Os 2.30
Be 0.5000 0.5000 0.1898  2 Be 2.30
K 0.0000 0.0000 0.5039  6 K 2.67-2.89
Os 0.5000 0.5000 0.8074  2 Be 2.30

Output
* energy relative to the elements: 882 meV per atom
* calculated volume: 60.8 Å³ per cell



This record from Alexandria via LeMat-Bulk describes an optimized crystal structure of Cs2CdCl. The functional is PBE.

Cell: 9.7898 9.7898 8.5604 Å, 55.12 55.12 90.00°
Last column: nearest neighbours and their distance in Å.
Fractional coordinates of all 8 atoms:
Cs 0.5662 0.1250 0.2500  2 Cl 3.33
Cs 0.1838 0.6250 0.2500  2 Cl 3.33
Cs 0.3750 0.4338 0.7500  2 Cl 3.33
Cs 0.8750 0.8162 0.7500  2 Cl 3.33
Cl 0.5000 0.5000 0.0000  4 Cs 3.33
Cl 0.2500 0.7500 0.5000  4 Cs 3.33
Cd 0.0000 0.0000 0.0000  4 Cs 4.09
Cd 0.7500 0.2500 0.5000  4 Cs 4.09

Output
* formation energy from raw total energies: -821.7 meV/atom
* calculated volume: 482.6 Å³ per cell



This record from Alexandria via LeMat-Bulk describes an optimized crystal structure of EuBi2Pb. The functional is PBE.

Cell: 4.9555 5.0351 5.0351 Å, 90.00 90.00 90.00°
Last column: nearest neighbours and their distance in Å.
Fractional coordinates of all 4 atoms:
Pb 0.5000 0.0000 0.0000  8 Bi 3.53, 4 Eu 3.56
Eu 0.5000 0.5000 0.5000  8 Bi 3.53, 4 Pb 3.56
Bi 0.0000 0.0000 0.5000  4 Pb 3.53, 4 Eu 3.53, 4 Bi 3.56
Bi 0.0000 0.5000 0.0000  4 Pb 3.53, 4 Eu 3.53, 4 Bi 3.56

Output
* energy relative to the elements: -448 meV per atom
* calculated volume: 125.6 Å³ per cell



This record from Alexandria via LeMat-Bulk describes an optimized crystal structure of Pm3ScTl3Se8. The functional is PBE.

Cell: 8.4250 8.4261 9.0436 Å, 117.77 90.00 120.00°
Last column: nearest neighbours and their distance in Å.
Fractional coordinates of all 15 atoms:
Pm 0.5000 0.0000 0.5000  6 Se 2.93-2.95
Pm 0.5000 0.5000 0.5000  6 Se 2.93-2.95
Pm 0.0000 0.5000 0.5000  6 Se 2.93-2.95
Sc 0.0000 0.0000 0.5000  6 Se 2.77
Tl 0.0000 0.0000 0.0000  6 Se 3.26-3.27
Tl 0.0000 0.5000 0.0000  6 Se 3.26-3.27
Tl 0.5000 0.5000 0.0000  6 Se 3.26-3.27
Se 0.2616 0.5232 0.2850  3 Pm 2.93, 3 Tl 3.26
Se 0.7384 0.4768 0.7150  3 Pm 2.93, 3 Tl 3.26
Se 0.7751 0.5503 0.2965  1 Sc 2.77, 2 Pm 2.95
Se 0.2249 0.4497 0.7035  1 Sc 2.77, 2 Pm 2.95
Se 0.7753 0.0210 0.2963  1 Sc 2.77, 2 Pm 2.95
Se 0.2247 0.9790 0.7037  1 Sc 2.77, 2 Pm 2.95
Se 0.2457 0.0210 0.2963  1 Sc 2.77, 2 Pm 2.95
Se 0.7543 0.9790 0.7037  1 Sc 2.77, 2 Pm 2.95

Output
* formation energy from raw total energies: -1350.1 meV/atom
* calculated volume: 468.7 Å³ per cell



no.,electronic total energy (eV for the cell shown)
1,-63.2
2,-44.6
3,-20.0
4,-90.8
5,-11.5
6,-16.3
7,-12.5
8,-13.1
9,-16.3
10,-15.5
11,-23.5
12,-75.8